SCAN YMnGeP2, single point on PBEsol structure; spin magnetization = 5.04 μB/cell; energy of formation = 759.3 meV/atom; density of states at the Fermi level = 3.01 states/eV per cell
1.0
-0.4890 4.3447 2.6170
0.1183 -2.6186 4.3696
5.2447 0.4966 0.1556
Mn Y P Ge
1 1 2 1
direct
0.5000 0.5000 0.5000 Mn
0.0000 0.0000 0.0000 Y
0.0000 0.5000 0.0000 P
0.5000 0.0000 0.0000 P
0.0000 0.0000 0.5000 Ge